# 1
First-principles (PBE) data for crystalline Na2TaPd at its relaxed geometry, as listed in Alexandria.

E_form in eV per atom: 1.22
Total magnetization in μB per cell: 0.00
Total DFT energy (no corrections) in eV per atom: -3.706
Theoretical density in g/cm³: 7.12
Fermi-level density of states in states/eV/f.u.: 4.735

Structure (CIF):
```
data_Na2TaPd
_space_group_name_H-M_alt 'F m -3 m'
_space_group_IT_number 225
_space_group_name_Hall '-F 4 2 3'
_cell_length_a 6.776
_cell_length_b 6.776
_cell_length_c 6.776
_cell_angle_alpha 90.00
_cell_angle_beta 90.00
_cell_angle_gamma 90.00
loop_
_atom_site_label
_atom_site_fract_x
_atom_site_fract_y
_atom_site_fract_z
_atom_site_occupancy
Na1 0.250 0.250 0.250 1
Ta1 0.000 0.000 0.000 1
Pd1 0.000 0.000 0.500 1
```


# 2
First-principles (PBE) data for crystalline NaTa2Pd2 at its relaxed geometry, as listed in Alexandria.

E_form in eV per atom: 0.49
Total magnetization in μB per cell: 0.00
Total DFT energy (no corrections) in eV per atom: -6.592
Theoretical density in g/cm³: 9.21
Fermi-level density of states in states/eV/f.u.: 3.719

Structure (CIF):
```
data_NaTa2Pd2
_space_group_name_H-M_alt 'I 4/m m m'
_space_group_IT_number 139
_space_group_name_Hall '-I 4 2'
_cell_length_a 4.796
_cell_length_b 4.796
_cell_length_c 9.372
_cell_angle_alpha 90.00
_cell_angle_beta 90.00
_cell_angle_gamma 90.00
loop_
_atom_site_label
_atom_site_fract_x
_atom_site_fract_y
_atom_site_fract_z
_atom_site_occupancy
Na1 0.000 0.000 0.000 1
Ta1 0.000 0.000 0.360 1
Pd1 0.000 0.500 0.250 1
```


# 3
First-principles (PBE) data for crystalline NaTa2Pd9 at its relaxed geometry, as listed in Alexandria.

E_form in eV per atom: -0.39
Total magnetization in μB per cell: 0.00
Total DFT energy (no corrections) in eV per atom: -6.366
Theoretical density in g/cm³: 11.73
Fermi-level density of states in states/eV/f.u.: 2.468

Structure (CIF):
```
data_NaTa2Pd9
_space_group_name_H-M_alt 'P 4/m m m'
_space_group_IT_number 123
_space_group_name_Hall '-P 4 2'
_cell_length_a 3.985
_cell_length_b 3.985
_cell_length_c 11.967
_cell_angle_alpha 90.00
_cell_angle_beta 90.00
_cell_angle_gamma 90.00
loop_
_atom_site_label
_atom_site_fract_x
_atom_site_fract_y
_atom_site_fract_z
_atom_site_occupancy
Na1 0.000 0.000 0.000 1
Ta1 0.000 0.000 0.326 1
Pd1 0.000 0.500 0.177 1
Pd2 0.000 0.500 0.500 1
Pd3 0.500 0.500 0.000 1
Pd4 0.500 0.500 0.339 1
```


# 4
First-principles (PBE) data for crystalline NaTa2Pd2 at its relaxed geometry, as listed in Alexandria.

E_form in eV per atom: 0.00
Total magnetization in μB per cell: 0.00
Total DFT energy (no corrections) in eV per atom: -7.086
Theoretical density in g/cm³: 10.66
Fermi-level density of states in states/eV/f.u.: 2.540

Structure (CIF):
```
data_NaTa2Pd2
_space_group_name_H-M_alt 'P 4/m b m'
_space_group_IT_number 127
_space_group_name_Hall '-P 4 2ab'
_cell_length_a 8.177
_cell_length_b 8.177
_cell_length_c 2.785
_cell_angle_alpha 90.00
_cell_angle_beta 90.00
_cell_angle_gamma 90.00
loop_
_atom_site_label
_atom_site_fract_x
_atom_site_fract_y
_atom_site_fract_z
_atom_site_occupancy
Na1 0.000 0.000 0.000 1
Ta1 0.119 0.381 0.500 1
Pd1 0.174 0.674 0.000 1
```